Entry 1:
An optimized crystal structure of Ca2Mo2As, computed with GGA-PBE.

abc: 7.7146 7.7146 4.7136
angles: 90.00 90.00 90.00
With the nearest neighbours (Å) after each atom.
Fractional coordinates of all 10 atoms:
1 Ca 0.6781 0.1781 0.0000  2 As 2.84
2 Mo 0.9046 0.4046 0.5000  1 Mo 2.08
3 Mo 0.5954 0.9046 0.5000  1 Mo 2.08
4 As 0.5000 0.5000 0.0000  4 Ca 2.84
5 Ca 0.8219 0.6781 0.0000  2 As 2.84
6 As 0.0000 0.0000 0.0000  4 Ca 2.84
7 Ca 0.3219 0.8219 0.0000  2 As 2.84
8 Mo 0.0954 0.5954 0.5000  1 Mo 2.08
9 Mo 0.4046 0.0954 0.5000  1 Mo 2.08
10 Ca 0.1781 0.3219 0.0000  2 As 2.84

## Properties
For the magnetization, the calculation gives 0.00 Bohr magnetons per cell. The value obtained for the formation energy is 717 meV per atom.

=====

Entry 2:
An optimized crystal structure of VGeHRh2, computed with GGA-PBE.

abc: 3.9354 3.9354 3.8434
angles: 90.00 90.00 90.00
With the nearest neighbours (Å) after each atom.
Fractional coordinates of all 5 atoms:
1 Rh 0.0000 0.5000 0.0000  2 H 1.97
2 Ge 0.5000 0.5000 0.5000  8 Rh 2.75, 4 V 2.78
3 V 0.0000 0.0000 0.5000  2 H 1.92
4 Rh 0.5000 0.0000 0.0000  2 H 1.97
5 H 0.0000 0.0000 0.0000  2 V 1.92, 4 Rh 1.97

## Properties
For the uncorrected energy, the calculation gives -33.08 eV per cell. For the magnetization, the calculation gives 2.27 Bohr magnetons per cell.

=====

Entry 3:
An optimized crystal structure of ZrScCu, computed with GGA-PBE.

abc: 5.7352 5.1146 5.1420
angles: 119.79 77.51 116.48
With the nearest neighbours (Å) after each atom.
Fractional coordinates of all 6 atoms:
1 Zr 0.4264 0.2106 0.8989  4 Cu 2.95-2.97, 3 Sc 2.95-2.99
2 Sc 0.4258 0.5452 0.5685  3 Zr 2.95-2.99, 4 Cu 2.96-2.97
3 Cu 0.9270 0.6307 0.7369  2 Cu 2.55-2.57, 2 Sc 2.76-2.79, 2 Zr 2.80
4 Zr 0.7123 0.0222 0.2359  4 Cu 2.80, 1 Sc 2.98
5 Sc 0.1321 0.7314 0.2343  4 Cu 2.76-2.79, 1 Zr 2.98
6 Cu 0.9274 0.1292 0.7368  2 Cu 2.55-2.57, 2 Sc 2.77-2.79, 2 Zr 2.80

## Properties
For the magnetization, the calculation gives 0.00 Bohr magnetons per cell. The value obtained for the formation energy is -93 meV per atom.

=====

Entry 4:
An optimized crystal structure of KAl2Ni, computed with GGA-PBE.

abc: 3.1068 4.8796 5.0936
angles: 90.00 90.00 90.00
With the nearest neighbours (Å) after each atom.
Fractional coordinates of all 4 atoms:
1 K 0.5000 0.0000 0.5000  4 Ni 2.89, 4 Al 2.98, 2 K 3.11
2 Al 0.5000 0.5000 0.0000  6 Al 2.89-3.11, 4 Ni 2.98
3 Ni 0.0000 0.5000 0.5000  4 K 2.89, 4 Al 2.98, 2 Ni 3.11
4 Al 0.0000 0.0000 0.0000  6 Al 2.89-3.11, 4 K 2.98

## Properties
For the magnetization, the calculation gives 0.00 Bohr magnetons per cell. The value obtained for the formation energy is 637 meV per atom.

=====

Entry 5:
An optimized crystal structure of ThIn2As2Pd7, computed with GGA-PBE.

abc: 4.0691 4.0691 14.8275
angles: 84.76 84.76 90.18
With the nearest neighbours (Å) after each atom.
Fractional coordinates of all 12 atoms:
1 As 0.5867 0.5867 0.7488  5 Pd 2.45-2.53
2 Pd 0.5526 0.0529 0.8507  2 As 2.53
3 Pd 0.9471 0.4474 0.1493  2 As 2.53
4 Pd 0.6102 0.6102 0.5823  1 As 2.45
5 Th 0.0000 0.0000 0.0000  12 Pd 2.87-3.00
6 Pd 0.4474 0.9471 0.1493  2 As 2.53
7 Pd 0.0529 0.5526 0.8507  2 As 2.53
8 Pd 0.3898 0.3898 0.4177  1 As 2.45
9 In 0.1157 0.1157 0.5929  5 Pd 2.83-2.93
10 As 0.4133 0.4133 0.2512  5 Pd 2.45-2.53
11 In 0.8843 0.8843 0.4071  5 Pd 2.83-2.93
12 Pd 0.5000 0.5000 0.0000  4 Th 2.87-2.88, 8 Pd 2.98-3.00

## Properties
For the magnetization, the calculation gives 0.00 Bohr magnetons per cell. The value obtained for the formation energy is -475 meV per atom.

=====

Entry 6:
An optimized crystal structure of CsNaZn2Au, computed with GGA-PBE.

abc: 5.1290 5.1290 5.7703
angles: 90.00 90.00 90.00
With the nearest neighbours (Å) after each atom.
Fractional coordinates of all 5 atoms:
1 Zn 0.5000 0.0000 0.0000  2 Au 2.56
2 Na 0.0000 0.0000 0.5000  2 Au 2.89
3 Cs 0.5000 0.5000 0.5000  4 Na 3.63, 8 Zn 3.86
4 Zn 0.0000 0.5000 0.0000  2 Au 2.56
5 Au 0.0000 0.0000 0.0000  4 Zn 2.56

## Properties
For the magnetization, the calculation gives 0.00 Bohr magnetons per cell. The value obtained for the formation energy is -79 meV per atom.

=====

Entry 7:
An optimized crystal structure of Li2OsBr, computed with GGA-PBE.

abc: 4.8917 4.8917 2.8522
angles: 90.00 90.00 114.75
With the nearest neighbours (Å) after each atom.
Fractional coordinates of all 4 atoms:
1 Li 0.5000 0.5000 0.0000  4 Li 2.64-2.85, 4 Br 2.83, 4 Os 2.83
2 Br 0.0000 0.5000 0.5000  2 Os 2.64, 8 Li 2.83, 2 Br 2.85
3 Os 0.5000 0.0000 0.5000  2 Br 2.64, 8 Li 2.83, 2 Os 2.85
4 Li 0.0000 0.0000 0.0000  4 Li 2.64-2.85, 4 Os 2.83, 4 Br 2.83

## Properties
For the magnetization, the calculation gives 0.00 Bohr magnetons per cell. The formation energy from raw total energies comes out at 0.293 eV per atom.

=====

Entry 8:
An optimized crystal structure of K2Ca3SmF12, computed with GGA-PBE.

abc: 8.4678 8.4678 8.4678
angles: 56.78 56.78 56.78
With the nearest neighbours (Å) after each atom.
Fractional coordinates of all 18 atoms:
1 K 0.5841 0.5841 0.5841  3 F 2.87
2 Ca 0.0000 0.5000 0.0000  6 F 2.25-2.27
3 F 0.0646 0.0646 0.6795  1 Sm 2.24, 1 Ca 2.25
4 Ca 0.0000 0.0000 0.5000  6 F 2.25-2.27
5 F 0.9354 0.9354 0.3205  1 Sm 2.24, 1 Ca 2.25
6 F 0.9354 0.3205 0.9354  1 Sm 2.24, 1 Ca 2.25
7 F 0.6795 0.0646 0.0646  1 Sm 2.24, 1 Ca 2.25
8 Sm 0.0000 0.0000 0.0000  6 F 2.24
9 F 0.3205 0.9354 0.9354  1 Sm 2.24, 1 Ca 2.25
10 F 0.6601 0.6601 0.1009  2 Ca 2.27
11 F 0.8991 0.3399 0.3399  2 Ca 2.27
12 F 0.3399 0.3399 0.8991  2 Ca 2.27
13 F 0.1009 0.6601 0.6601  2 Ca 2.27
14 F 0.6601 0.1009 0.6601  2 Ca 2.27
15 F 0.0646 0.6795 0.0646  1 Sm 2.24, 1 Ca 2.25
16 Ca 0.5000 0.0000 0.0000  6 F 2.25-2.27
17 K 0.4159 0.4159 0.4159  3 F 2.87
18 F 0.3399 0.8991 0.3399  2 Ca 2.27

## Properties
For the magnetization, the calculation gives 1.31 Bohr magnetons per cell. The formation energy from raw total energies comes out at -3.381 eV per atom.

=====

Please write out number 5 again, unchanged.
An optimized crystal structure of ThIn2As2Pd7, computed with GGA-PBE.

abc: 4.0691 4.0691 14.8275
angles: 84.76 84.76 90.18
With the nearest neighbours (Å) after each atom.
Fractional coordinates of all 12 atoms:
1 As 0.5867 0.5867 0.7488  5 Pd 2.45-2.53
2 Pd 0.5526 0.0529 0.8507  2 As 2.53
3 Pd 0.9471 0.4474 0.1493  2 As 2.53
4 Pd 0.6102 0.6102 0.5823  1 As 2.45
5 Th 0.0000 0.0000 0.0000  12 Pd 2.87-3.00
6 Pd 0.4474 0.9471 0.1493  2 As 2.53
7 Pd 0.0529 0.5526 0.8507  2 As 2.53
8 Pd 0.3898 0.3898 0.4177  1 As 2.45
9 In 0.1157 0.1157 0.5929  5 Pd 2.83-2.93
10 As 0.4133 0.4133 0.2512  5 Pd 2.45-2.53
11 In 0.8843 0.8843 0.4071  5 Pd 2.83-2.93
12 Pd 0.5000 0.5000 0.0000  4 Th 2.87-2.88, 8 Pd 2.98-3.00

## Properties
For the magnetization, the calculation gives 0.00 Bohr magnetons per cell. The value obtained for the formation energy is -475 meV per atom.

=====

What did the first record say?
An optimized crystal structure of Ca2Mo2As, computed with GGA-PBE.

abc: 7.7146 7.7146 4.7136
angles: 90.00 90.00 90.00
With the nearest neighbours (Å) after each atom.
Fractional coordinates of all 10 atoms:
1 Ca 0.6781 0.1781 0.0000  2 As 2.84
2 Mo 0.9046 0.4046 0.5000  1 Mo 2.08
3 Mo 0.5954 0.9046 0.5000  1 Mo 2.08
4 As 0.5000 0.5000 0.0000  4 Ca 2.84
5 Ca 0.8219 0.6781 0.0000  2 As 2.84
6 As 0.0000 0.0000 0.0000  4 Ca 2.84
7 Ca 0.3219 0.8219 0.0000  2 As 2.84
8 Mo 0.0954 0.5954 0.5000  1 Mo 2.08
9 Mo 0.4046 0.0954 0.5000  1 Mo 2.08
10 Ca 0.1781 0.3219 0.0000  2 As 2.84

## Properties
For the magnetization, the calculation gives 0.00 Bohr magnetons per cell. The value obtained for the formation energy is 717 meV per atom.

=====

Which formula does entry 6 have? CsNaZn2Au

=====

Among the records above, which one has the highest magnetization? VGeHRh2